1.
Computed, not measured: crystalline HoInIrRu at its relaxed geometry at the PBE level of DFT.

Unit cell a=6.6284 b=6.6284 c=6.6284 alpha=90.00 beta=90.00 gamma=90.00
Last column: nearest neighbours and their distance in Å.
Fractional positions:
Ho (0.0000, 0.0000, 0.0000)  4 Ru 2.87, 4 Ir 2.87
Ho (0.0000, 0.5000, 0.5000)  4 Ru 2.87, 4 Ir 2.87
Ho (0.5000, 0.0000, 0.5000)  4 Ru 2.87, 4 Ir 2.87
Ho (0.5000, 0.5000, 0.0000)  4 Ru 2.87, 4 Ir 2.87
In (0.0000, 0.0000, 0.5000)  4 Ru 2.87, 4 Ir 2.87
In (0.0000, 0.5000, 0.0000)  4 Ru 2.87, 4 Ir 2.87
In (0.5000, 0.0000, 0.0000)  4 Ru 2.87, 4 Ir 2.87
In (0.5000, 0.5000, 0.5000)  4 Ir 2.87, 4 Ru 2.87
Ir (0.2500, 0.2500, 0.7500)  4 In 2.87, 4 Ho 2.87
Ir (0.2500, 0.7500, 0.2500)  4 In 2.87, 4 Ho 2.87
Ir (0.7500, 0.2500, 0.2500)  4 In 2.87, 4 Ho 2.87
Ir (0.7500, 0.7500, 0.7500)  4 In 2.87, 4 Ho 2.87
Ru (0.2500, 0.2500, 0.2500)  4 In 2.87, 4 Ho 2.87
Ru (0.2500, 0.7500, 0.7500)  4 In 2.87, 4 Ho 2.87
Ru (0.7500, 0.2500, 0.7500)  4 In 2.87, 4 Ho 2.87
Ru (0.7500, 0.7500, 0.2500)  4 In 2.87, 4 Ho 2.87

- Theoretical density: 13.070 g/cm³
- ΔE_f: -0.36 eV/atom

---

2.
Computed, not measured: crystalline PrDyGe2 at its relaxed geometry at the PBE level of DFT.

Unit cell a=4.0427 b=4.4090 c=10.9704 alpha=90.00 beta=90.00 gamma=90.00
Last column: nearest neighbours and their distance in Å.
Fractional positions:
Pr (0.0000, 0.0000, 0.0000)  7 Ge 3.04-3.29
Pr (0.0000, 0.5000, 0.5000)  7 Ge 3.04-3.29
Dy (0.5000, 0.0000, 0.2756)  7 Ge 3.05-3.26
Dy (0.5000, 0.5000, 0.7756)  7 Ge 3.05-3.26
Ge (0.0000, 0.0000, 0.7229)  2 Ge 2.72, 1 Pr 3.04
Ge (0.0000, 0.5000, 0.2229)  2 Ge 2.72, 1 Pr 3.04
Ge (0.5000, 0.0000, 0.5573)  2 Ge 2.72
Ge (0.5000, 0.5000, 0.0573)  2 Ge 2.72

- Theoretical density: 7.621 g/cm³
- ΔE_f: -0.84 eV/atom